Entry 1:
VASP calculation (PBE) on crystalline PaInO3 at its relaxed geometry.

```
PaInO3
1.0
5.1666 1.0910 3.2028
4.0651 -4.5519 0.9475
5.1909 -0.0538 -2.4009
Pa O In
2 6 2
direct
0.8618 0.8618 0.4146
0.1382 0.1382 0.5854
0.9954 0.4556 0.7735
0.7755 0.9954 0.7735
0.4556 0.7755 0.7735
0.5444 0.2245 0.2265
0.0046 0.5444 0.2265
0.2245 0.0046 0.2265
0.6132 0.6132 0.1603
0.3868 0.3868 0.8397
```

Values from the calculation:
Its total energy is -7.45 eV per atom.

***

Entry 2:
VASP calculation (PBE) on crystalline InTcPb2O6 at its relaxed geometry.

```
InTcPb2O6
1.0
-3.6786 -0.9998 4.3110
-3.1855 4.2985 2.1196
-5.6712 0.1271 -0.9688
In Pb O Tc
1 2 6 1
direct
0.0000 0.0000 0.0000
0.7500 0.7500 0.7500
0.2500 0.2500 0.2500
0.2601 0.7399 0.2601
0.7399 0.2601 0.2601
0.7399 0.7399 0.2601
0.7399 0.2601 0.7399
0.2601 0.7399 0.7399
0.2601 0.2601 0.7399
0.5000 0.5000 0.5000
```

Values from the calculation:
Its total energy is -6.24 eV per atom.

***

Entry 3:
VASP calculation (PBE) on crystalline In2PdO4 at its relaxed geometry.

```
In2PdO4
1.0
-4.9048 2.4511 -2.0629
-3.3646 -0.8538 6.9853
2.6219 7.0331 2.1226
O Pd In
16 4 8
direct
0.5778 0.4278 0.2509
0.9222 0.7491 0.5722
0.5778 0.7509 0.0722
0.0778 0.4278 0.7491
0.9222 0.2509 0.4278
0.9222 0.0722 0.7509
0.4222 0.7491 0.4278
0.4222 0.9278 0.7509
0.5778 0.5722 0.7491
0.4222 0.2509 0.5722
0.4222 0.0722 0.2491
0.5778 0.2491 0.9278
0.0778 0.7509 0.9278
0.0778 0.5722 0.2509
0.9222 0.9278 0.2491
0.0778 0.2491 0.0722
0.4441 0.0000 0.5000
0.5559 0.5000 0.0000
0.9441 0.0000 0.5000
0.0559 0.5000 0.0000
0.7500 0.3242 0.6758
0.7500 0.1758 0.1758
0.2500 0.8242 0.1758
0.2500 0.6758 0.6758
0.7500 0.6758 0.3242
0.7500 0.8242 0.8242
0.2500 0.3242 0.3242
0.2500 0.1758 0.8242
```

Values from the calculation:
The calculation puts the distance to the lowest polymorph of the same formula at 0 meV per atom.

***

Entry 4:
VASP calculation (PBE) on crystalline In2Pd2O7 at its relaxed geometry.

```
In2Pd2O7
1.0
4.1248 3.9254 -0.5825
-5.0465 2.0628 -1.7435
-0.7488 0.7075 4.7803
O In Pd
7 2 2
direct
0.9425 0.5364 0.7383
0.4636 0.0575 0.2617
0.0575 0.4636 0.2617
0.0000 0.0000 0.5000
0.5364 0.5364 0.2447
0.4636 0.4636 0.7553
0.5364 0.9425 0.7383
0.2981 0.7019 0.0000
0.7019 0.2981 0.0000
0.7493 0.7493 0.6517
0.2507 0.2507 0.3483
```

Values from the calculation:
Its total energy is -5.13 eV per atom.